Crystalline BaAcSbS at its relaxed geometry. Source: Alexandria, functional PBE.

Calculated values
The uncorrected formation energy comes out at -1.50 eV per atom.

Cell lengths 7.9887, 4.6124, 8.4842 Å; angles 90.00, 108.25, 90.00 degrees
Space group Cm (No. 8)
Unique sites:
Ba 0.0000 0.0000 0.0000
Ac 0.1647 0.0000 0.4920
Sb 0.0786 0.5000 0.7349
S 0.2606 0.5000 0.2806



Crystalline Mn2AlHg at its relaxed geometry. Source: Alexandria, functional PBE.

Calculated values
Its energy of formation from the pure elements is 0.12 eV per atom. As for the density of states at the Fermi level: 3.19 states/eV/f.u. As for the energy above the most stable polymorph in this dataset: 14 meV/atom.

Cell lengths 2.8665, 3.7152, 5.7806 Å; angles 90.00, 90.00, 90.00 degrees
Space group Pmmm (No. 47)
Unique sites:
Mn 0.0000 0.0000 0.2236
Al 0.5000 0.5000 0.0000
Hg 0.5000 0.5000 0.5000



Crystalline LaNdPdAu at its relaxed geometry. Source: Alexandria, functional PBE.

Calculated values
Its energy of formation from the pure elements is -0.74 eV per atom. As for the density of states at the Fermi level: 3.24 states/eV/f.u. As for the energy above the most stable polymorph in this dataset: 71 meV/atom.

Cell lengths 7.4108, 7.4108, 7.4108 Å; angles 90.00, 90.00, 90.00 degrees
Space group F-43m (No. 216)
Unique sites:
La 0.0000 0.0000 0.0000
Nd 0.0000 0.0000 0.5000
Pd 0.2500 0.2500 0.2500
Au 0.2500 0.2500 0.7500



Crystalline Tb4YMgSe8 at its relaxed geometry. Source: Alexandria, functional PBE.

Calculated values
As for the density of states at the Fermi level: 3.86 states/eV/f.u. The uncorrected formation energy comes out at -1.72 eV per atom.

Cell lengths 8.3728, 8.3728, 20.4974 Å; angles 90.00, 90.00, 120.00 degrees
Space group R3m (No. 160, hexagonal axes)
Unique sites:
Tb 0.0000 0.0000 0.0000
Tb 0.1710 0.3421 0.2073
Y 0.0000 0.0000 0.3784
Mg 0.0000 0.0000 0.7499
Se 0.0000 0.0000 0.1334
Se 0.0000 0.0000 0.6216
Se 0.0092 0.5046 0.1261
Se 0.1782 0.3563 0.9558



Crystalline BaAc2Pb4 at its relaxed geometry. Source: Alexandria, functional PBE.

Calculated values
Its energy of formation from the pure elements is -0.48 eV per atom. As for the density of states at the Fermi level: 4.77 states/eV/f.u.

Cell lengths 4.7475, 5.0859, 22.6437 Å; angles 90.00, 90.00, 90.00 degrees
Space group Immm (No. 71)
Unique sites:
Ba 0.0000 0.0000 0.0000
Ac 0.0000 0.5000 0.3181
Pb 0.0000 0.0000 0.4284
Pb 0.0000 0.5000 0.1652



Crystalline MnZn2Tc at its relaxed geometry. Source: Alexandria, functional PBE.

Calculated values
Its energy of formation from the pure elements is 0.06 eV per atom. As for the density of states at the Fermi level: 2.56 states/eV/f.u. As for the energy above the most stable polymorph in this dataset: 57 meV/atom.

Cell lengths 3.7716, 3.7716, 3.9454 Å; angles 90.00, 90.00, 90.00 degrees
Space group P4/mmm (No. 123)
Unique sites:
Mn 0.0000 0.0000 0.0000
Zn 0.0000 0.5000 0.5000
Tc 0.5000 0.5000 0.0000



Crystalline Na2PuZrO6 at its relaxed geometry. Source: Alexandria, functional PBE.

Calculated values
As for the density of states at the Fermi level: 2.91 states/eV/f.u. The uncorrected formation energy comes out at -2.52 eV per atom.

Cell lengths 5.8762, 5.8762, 4.1923 Å; angles 90.00, 90.00, 90.00 degrees
Space group P4mm (No. 99)
Unique sites:
Na 0.0000 0.5000 0.0000
Pu 0.0000 0.0000 0.5594
Zr 0.5000 0.5000 0.5412
O 0.0000 0.0000 0.0598
O 0.2446 0.2446 0.5698
O 0.5000 0.5000 0.0555



Crystalline YTlCl2 at its relaxed geometry. Source: Alexandria, functional PBE.

Calculated values
As for the density of states at the Fermi level: 2.37 states/eV/f.u. As for the energy above the most stable polymorph in this dataset: 400 meV/atom. The uncorrected formation energy comes out at -0.94 eV per atom.

Cell lengths 4.6751, 4.6751, 8.9671 Å; angles 90.00, 90.00, 90.00 degrees
Space group I4/mmm (No. 139)
Unique sites:
Y 0.0000 0.0000 0.0000
Tl 0.0000 0.0000 0.5000
Cl 0.0000 0.5000 0.2500



Crystalline SrSbCl2 at its relaxed geometry. Source: Alexandria, functional PBE.

Calculated values
As for the density of states at the Fermi level: 4.01 states/eV/f.u. As for the energy above the most stable polymorph in this dataset: 300 meV/atom. The uncorrected formation energy comes out at -1.03 eV per atom.

Cell lengths 8.2915, 8.2915, 7.1322 Å; angles 90.00, 90.00, 90.00 degrees
Space group I-42d (No. 122)
Unique sites:
Sr 0.0000 0.0000 0.0000
Sb 0.0000 0.0000 0.5000
Cl 0.2232 0.7500 0.1250



Crystalline BeMoPIr at its relaxed geometry. Source: Alexandria, functional PBE.

Calculated values
Its energy of formation from the pure elements is -0.28 eV per atom. As for the density of states at the Fermi level: 2.17 states/eV/f.u. As for the energy above the most stable polymorph in this dataset: 193 meV/atom.

Cell lengths 3.7960, 3.0959, 8.5530 Å; angles 90.00, 90.00, 90.00 degrees
Space group Amm2 (No. 38)
Unique sites:
Be 0.0000 0.0000 0.0000
Mo 0.0000 0.0000 0.7256
P 0.5000 0.0000 0.1742
Ir 0.5000 0.0000 0.4559



Crystalline SrSnGe2 at its relaxed geometry. Source: Alexandria, functional PBE.

Calculated values
Its energy of formation from the pure elements is -0.20 eV per atom. As for the density of states at the Fermi level: 0.01 states/eV/f.u.

Cell lengths 8.0624, 8.0624, 6.7526 Å; angles 90.00, 90.00, 90.00 degrees
Space group I-42d (No. 122)
Unique sites:
Sr 0.0000 0.0000 0.0000
Sn 0.0000 0.0000 0.5000
Ge 0.2055 0.2500 0.6250



Crystalline K2HfMnTe4 at its relaxed geometry. Source: Alexandria, functional PBE.

Calculated values
As for the density of states at the Fermi level: 1.16 states/eV/f.u. The uncorrected formation energy comes out at -0.75 eV per atom.

Cell lengths 7.5239, 4.2204, 8.5303 Å; angles 90.00, 107.12, 90.00 degrees
Space group P2/m (No. 10)
Unique sites:
K 0.0000 0.0000 0.0000
K 0.5000 0.5000 0.0000
Hf 0.0000 0.5000 0.5000
Mn 0.5000 0.0000 0.5000
Te 0.2255 0.0000 0.6999
Te 0.2706 0.5000 0.3133